Version 1
Material: As2P2C
Method: DFT, PBE
State: optimized geometry

Cell lengths 5.4173, 5.4173, 5.1837 Å; angles 90.00, 90.00, 90.00 degrees
Fractional coordinates of all 10 atoms:
1 As 0.7736 0.7264 0.5000
2 As 0.2264 0.2736 0.5000
3 As 0.7264 0.2264 0.5000
4 As 0.2736 0.7736 0.5000
5 P 0.6875 0.1875 0.0000
6 P 0.8125 0.6875 0.0000
7 P 0.1875 0.3125 0.0000
8 P 0.3125 0.8125 0.0000
9 C 0.0000 0.0000 0.0000
10 C 0.5000 0.5000 0.0000

Output
density of states at the Fermi level: 2.88 states/eV/f.u.
total magnetic moment: 0.0 μB/f.u.

=====

Version 2
Material: As2P2C
Method: DFT, PBE
State: optimized geometry

Cell lengths 5.3215, 5.3215, 4.8548 Å; angles 56.77, 56.77, 90.00 degrees
Fractional coordinates of all 5 atoms:
1 C 0.0000 0.0000 0.0000
2 As 0.7500 0.2500 0.5000
3 As 0.2500 0.7500 0.5000
4 P 0.2737 0.2737 0.4525
5 P 0.7263 0.7263 0.5475

Output
density of states at the Fermi level: 3.62 states/eV/f.u.
total magnetic moment: 0.0 μB/f.u.

=====

Version 3
Material: As2P2C
Method: DFT, PBE
State: optimized geometry

Cell lengths 3.1568, 3.1568, 8.8561 Å; angles 79.73, 79.73, 90.00 degrees
Fractional coordinates of all 5 atoms:
1 C 0.0000 0.0000 0.0000
2 P 0.2500 0.7500 0.5000
3 P 0.7500 0.2500 0.5000
4 As 0.4301 0.4301 0.1398
5 As 0.5699 0.5699 0.8602

Output
density of states at the Fermi level: 2.23 states/eV/f.u.
total magnetic moment: 0.0 μB/f.u.

=====

Version 4
Material: As2P2C
Method: DFT, PBE
State: optimized geometry

Cell lengths 5.8788, 5.8788, 5.1528 Å; angles 90.00, 90.00, 90.00 degrees
Last column: magnetic moment on the atom in μB.
Fractional coordinates of all 10 atoms:
1 P 0.1240 0.6240 0.5000  0.01
2 P 0.8760 0.3760 0.5000  0.01
3 P 0.6240 0.8760 0.5000  0.01
4 P 0.3760 0.1240 0.5000  0.01
5 As 0.6717 0.8283 0.0000  -0.01
6 As 0.3283 0.1717 0.0000  -0.01
7 As 0.1717 0.6717 0.0000  -0.01
8 As 0.8283 0.3283 0.0000  -0.01
9 C 0.5000 0.5000 0.0000  0.18
10 C 0.0000 0.0000 0.0000  0.18

Output
density of states at the Fermi level: 2.36 states/eV/f.u.
total magnetic moment: 0.4 μB/f.u.

=====

Which structure is most stable? version 2, by 14.4 kJ/mol of atoms over the runner-up.

=====

Version 1
Material: AsP2C
Method: DFT, PBE
State: optimized geometry

Cell lengths 5.6273, 5.6273, 5.4499 Å; angles 58.92, 58.92, 90.00 degrees
Fractional coordinates of all 8 atoms:
1 C 0.2500 0.7500 0.5000
2 C 0.5000 0.5000 0.0000
3 P 0.2126 0.6250 0.2500
4 P 0.3750 0.4626 0.7500
5 P 0.5374 0.1250 0.2500
6 P 0.8750 0.7874 0.7500
7 As 0.0000 0.0000 0.0000
8 As 0.7500 0.2500 0.5000

Output
density of states at the Fermi level: 1.86 states/eV/f.u.
total magnetic moment: 0.0 μB/f.u.

=====

Version 2
Material: AsP2C
Method: DFT, PBE
State: optimized geometry

Cell lengths 4.2456, 4.2456, 4.2456 Å; angles 60.00, 60.00, 60.00 degrees
Fractional coordinates of all 4 atoms:
1 As 0.5000 0.5000 0.5000
2 P 0.2500 0.2500 0.2500
3 P 0.7500 0.7500 0.7500
4 C 0.0000 0.0000 0.0000

Output
density of states at the Fermi level: 3.16 states/eV/f.u.
total magnetic moment: 0.0 μB/f.u.

=====

Which structure is most stable? version 1, by 96.7 kJ/mol of atoms over the runner-up.

=====

Version 1
Material: AsPRhC
Method: DFT, PBE
State: optimized geometry

Cell lengths 2.9508, 4.0344, 5.6437 Å; angles 71.86, 90.04, 68.51 degrees
Fractional coordinates of all 4 atoms:
1 C 0.5533 0.6315 0.4611
2 As 0.5399 0.6564 0.8122
3 P 0.0859 0.5660 0.3058
4 Rh 0.2979 0.1419 0.0866

Output
density of states at the Fermi level: 1.96 states/eV/f.u.
total magnetic moment: 0.0 μB/f.u.

=====

Version 2
Material: AsPRhC
Method: DFT, PBE
State: optimized geometry

Cell lengths 3.2752, 3.2752, 19.3041 Å; angles 90.00, 90.00, 120.00 degrees
Fractional coordinates of all 12 atoms:
1 C 0.0000 0.0000 0.8554
2 C 0.3333 0.6667 0.5221
3 C 0.6667 0.3333 0.1887
4 Rh 0.6667 0.3333 0.7023
5 Rh 0.3333 0.6667 0.0357
6 Rh 0.0000 0.0000 0.3690
7 As 0.6667 0.3333 0.5692
8 As 0.3333 0.6667 0.9026
9 As 0.0000 0.0000 0.2359
10 P 0.6667 0.3333 0.0950
11 P 0.0000 0.0000 0.7616
12 P 0.3333 0.6667 0.4283

Output
density of states at the Fermi level: 1.04 states/eV/f.u.
total magnetic moment: 0.0 μB/f.u.

=====

Version 3
Material: AsPRhC
Method: DFT, PBE
State: optimized geometry

Cell lengths 5.5803, 2.9293, 7.7186 Å; angles 90.00, 105.88, 90.00 degrees
Fractional coordinates of all 8 atoms:
1 Rh 0.0742 0.5000 0.3208
2 Rh 0.0742 0.0000 0.8208
3 C 0.3444 0.0000 0.6883
4 C 0.3444 0.5000 0.1883
5 P 0.4072 0.0000 0.0829
6 P 0.4072 0.5000 0.5829
7 As 0.8398 0.0000 0.0681
8 As 0.8398 0.5000 0.5681

Output
density of states at the Fermi level: 2.45 states/eV/f.u.
total magnetic moment: 0.0 μB/f.u.

=====

Version 4
Material: AsPRhC
Method: DFT, PBE
State: optimized geometry

Cell lengths 3.1518, 2.9609, 6.0263 Å; angles 90.00, 90.00, 90.00 degrees
Fractional coordinates of all 4 atoms:
1 Rh 0.5000 0.5000 0.9315
2 P 0.0000 0.5000 0.6645
3 As 0.5000 0.0000 0.2617
4 C 0.0000 0.0000 0.4766

Output
density of states at the Fermi level: 0.98 states/eV/f.u.
total magnetic moment: 0.0 μB/f.u.

=====

Which structure is most stable? version 4, by 3.2 kJ/mol of atoms over the runner-up.

=====

Version 1
Material: AsPRhC
Method: DFT, PBE
State: optimized geometry

Cell lengths 3.6089, 4.3084, 4.4694 Å; angles 97.85, 113.52, 90.00 degrees
Fractional coordinates of all 4 atoms:
1 P 0.4785 0.0304 0.6173
2 C 0.5538 0.1319 0.2802
3 As 0.3751 0.4513 0.9975
4 Rh 0.9269 0.8591 0.1092

Output
density of states at the Fermi level: 1.71 states/eV/f.u.
total magnetic moment: 0.0 μB/f.u.

=====

Version 2
Material: AsPRhC
Method: DFT, PBE
State: optimized geometry

Cell lengths 6.2715, 2.9314, 8.7948 Å; angles 90.00, 126.77, 90.00 degrees
Fractional coordinates of all 8 atoms:
1 Rh 0.4176 0.0000 0.3110
2 Rh 0.4176 0.5000 0.8110
3 P 0.9659 0.5000 0.6251
4 P 0.9659 0.0000 0.1251
5 As 0.4801 0.5000 0.1113
6 As 0.4801 0.0000 0.6113
7 C 0.7979 0.5000 0.1163
8 C 0.7979 0.0000 0.6163

Output
density of states at the Fermi level: 1.58 states/eV/f.u.
total magnetic moment: 0.0 μB/f.u.

=====

Which structure is most stable? version 2, by 14.7 kJ/mol of atoms over the runner-up.

=====

Version 1
Material: AsPRhC
Method: DFT, PBE
State: optimized geometry

Cell lengths 7.5291, 2.9528, 5.1141 Å; angles 90.00, 102.23, 90.00 degrees
Fractional coordinates of all 8 atoms:
1 C 0.6524 0.0000 0.7276
2 C 0.6524 0.5000 0.2276
3 P 0.5529 0.0000 0.0297
4 P 0.5529 0.5000 0.5297
5 As 0.1881 0.5000 0.7288
6 As 0.1881 0.0000 0.2288
7 Rh 0.9408 0.0000 0.8180
8 Rh 0.9408 0.5000 0.3180

Output
density of states at the Fermi level: 1.27 states/eV/f.u.
total magnetic moment: 0.0 μB/f.u.

=====

Version 2
Material: AsPRhC
Method: DFT, PBE
State: optimized geometry

Cell lengths 3.6396, 3.1009, 5.2204 Å; angles 90.00, 93.02, 90.00 degrees
Fractional coordinates of all 4 atoms:
1 Rh 0.8669 0.5000 0.8414
2 C 0.2609 0.0000 0.4212
3 P 0.3824 0.0000 0.7543
4 As 0.9640 0.5000 0.3174

Output
density of states at the Fermi level: 1.39 states/eV/f.u.
total magnetic moment: 0.0 μB/f.u.

=====

Which structure is most stable? version 1, by 7.7 kJ/mol of atoms over the runner-up.

=====

Version 1
Material: AsPRhC
Method: DFT, PBE
State: optimized geometry

Cell lengths 2.9406, 4.6159, 4.8053 Å; angles 83.62, 79.18, 77.54 degrees
Fractional coordinates of all 4 atoms:
1 As 0.6096 0.1169 0.4023
2 C 0.5589 0.4709 0.1377
3 P 0.0579 0.6162 0.9628
4 Rh 0.9665 0.1302 0.8357

Output
density of states at the Fermi level: 1.63 states/eV/f.u.
total magnetic moment: 0.0 μB/f.u.

=====

Version 2
Material: AsPRhC
Method: DFT, PBE
State: optimized geometry

Cell lengths 3.2934, 3.2934, 6.5701 Å; angles 90.00, 90.00, 120.00 degrees
Fractional coordinates of all 4 atoms:
1 As 0.6667 0.3333 0.3821
2 Rh 0.0000 0.0000 0.9286
3 P 0.6667 0.3333 0.7590
4 C 0.0000 0.0000 0.2645

Output
density of states at the Fermi level: 0.71 states/eV/f.u.
total magnetic moment: 0.0 μB/f.u.

=====

Which structure is most stable? version 1, by 15.6 kJ/mol of atoms over the runner-up.

=====

Version 1
Material: AsPRhC
Method: DFT, PBE
State: optimized geometry

Cell lengths 3.0898, 3.5569, 5.9304 Å; angles 83.56, 86.21, 68.79 degrees
Fractional coordinates of all 4 atoms:
1 As 0.0285 0.6965 0.2428
2 Rh 0.1514 0.2158 0.9273
3 C 0.5217 0.6568 0.4353
4 P 0.4998 0.6225 0.7289

Output
density of states at the Fermi level: 1.89 states/eV/f.u.
total magnetic moment: 0.0 μB/f.u.

=====

Version 2
Material: AsPRhC
Method: DFT, PBE
State: optimized geometry

Cell lengths 3.6523, 4.4289, 4.4902 Å; angles 75.04, 66.08, 65.67 degrees
Fractional coordinates of all 4 atoms:
1 C 0.3345 0.4790 0.3295
2 Rh 0.3564 0.8301 0.9386
3 P 0.1248 0.4757 0.7535
4 As 0.5773 0.0138 0.3126

Output
density of states at the Fermi level: 1.70 states/eV/f.u.
total magnetic moment: 0.0 μB/f.u.

=====

Which structure is most stable? version 1, by 11.6 kJ/mol of atoms over the runner-up.

=====

Version 1
Material: PaAsC
Method: DFT, PBE
State: optimized geometry

Cell lengths 4.1012, 3.9669, 3.9669 Å; angles 120.00, 90.00, 90.00 degrees
Fractional coordinates of all 3 atoms:
1 C 0.1665 0.3333 0.6667
2 As 0.6668 0.6667 0.3333
3 Pa 0.1668 0.0000 0.0000

Output
density of states at the Fermi level: 3.36 states/eV/f.u.
total magnetic moment: 0.0 μB/f.u.

=====

Version 2
Material: PaAsC
Method: DFT, PBE
State: optimized geometry

Cell lengths 3.1783, 3.1783, 5.9715 Å; angles 105.43, 105.43, 90.00 degrees
Fractional coordinates of all 3 atoms:
1 Pa 0.7185 0.7185 0.4370
2 As 0.9978 0.9978 0.9957
3 C 0.2836 0.2836 0.5673

Output
density of states at the Fermi level: 1.29 states/eV/f.u.
total magnetic moment: 0.0 μB/f.u.

=====

Which structure is most stable? version 1, by 18.3 kJ/mol of atoms over the runner-up.